{
  "formula": "KZnSe",
  "functional": "PBEsol",
  "state": "optimized geometry",
  "e_form_raw_ev_per_fu": -0.830,
  "n_ef_per_ev_cell": 1.37,
  "lattice_angstrom": [[4.9909, 0.0000, 0.0000], [2.4955, 4.3223, 0.0000], [2.4955, 1.4408, 4.0751]],
  "species": ["K", "Se", "Zn"],
  "fractional_positions": [[0.5000, 0.5000, 0.5000], [0.2500, 0.2500, 0.2500], [0.0000, 0.0000, 0.0000]]
}

{
  "formula": "K6ZnSe4",
  "functional": "PBEsol",
  "state": "optimized geometry",
  "e_form_raw_ev_per_fu": -11.823,
  "n_ef_per_ev_cell": 0.00,
  "lattice_angstrom": [[7.7981, 0.0000, 0.0000], [0.0000, 10.1128, 0.0000], [0.0000, -5.0564, 8.7579]],
  "species": ["K", "K", "K", "K", "K", "K", "K", "K", "K", "K", "K", "K", "Zn", "Zn", "Se", "Se", "Se", "Se", "Se", "Se", "Se", "Se"],
  "fractional_positions": [[0.9530, 0.2952, 0.1476], [0.9530, 0.8524, 0.7048], [0.9530, 0.8524, 0.1476], [0.4530, 0.7048, 0.8524], [0.4530, 0.1476, 0.2952], [0.4530, 0.1476, 0.8524], [0.1340, 0.0515, 0.5258], [0.1340, 0.4742, 0.9485], [0.1340, 0.4742, 0.5258], [0.6340, 0.9485, 0.4742], [0.6340, 0.5258, 0.0515], [0.6340, 0.5258, 0.4742], [0.2519, 0.6667, 0.3333], [0.7519, 0.3333, 0.6667], [0.9282, 0.6667, 0.3333], [0.4282, 0.3333, 0.6667], [0.3497, 0.3934, 0.1967], [0.3497, 0.8033, 0.6066], [0.3497, 0.8033, 0.1967], [0.8497, 0.6066, 0.8033], [0.8497, 0.1967, 0.3934], [0.8497, 0.1967, 0.8033]]
}

{
  "formula": "KZn3Se",
  "functional": "PBEsol",
  "state": "optimized geometry",
  "e_form_raw_ev_per_fu": 5.397,
  "n_ef_per_ev_cell": 4.24,
  "lattice_angstrom": [[5.7913, 0.0000, 0.0000], [0.0000, 5.7913, 0.0000], [0.0000, 0.0000, 5.7913]],
  "species": ["Zn", "Zn", "Zn", "K", "Se"],
  "fractional_positions": [[0.0000, 0.5000, 0.0000], [0.0000, 0.0000, 0.5000], [0.5000, 0.0000, 0.0000], [0.0000, 0.0000, 0.0000], [0.5000, 0.5000, 0.5000]]
}

{
  "formula": "KZn2Se",
  "functional": "PBEsol",
  "state": "optimized geometry",
  "e_form_raw_ev_per_fu": 0.498,
  "n_ef_per_ev_cell": 1.85,
  "lattice_angstrom": [[-2.7222, 0.2620, 0.4458], [0.1678, -4.5446, 3.6958], [0.9508, 5.7748, 2.4120]],
  "species": ["K", "Se", "Zn", "Zn"],
  "fractional_positions": [[0.5000, 0.0000, 0.0000], [0.5000, 0.5000, 0.0000], [0.0000, 0.0000, 0.5000], [0.0000, 0.5000, 0.5000]]
}

{
  "formula": "KZrSe2",
  "functional": "PBEsol",
  "state": "optimized geometry",
  "e_form_raw_ev_per_fu": -0.685,
  "n_ef_per_ev_cell": 3.41,
  "lattice_angstrom": [[-3.4461, -0.3949, -0.4508], [-1.3550, -3.1985, -0.4103], [-2.8501, -1.9818, 9.9524]],
  "species": ["K", "Se", "Se", "Zr"],
  "fractional_positions": [[0.2600, 0.2600, 0.2199], [0.0047, 0.0047, 0.9860], [0.7581, 0.7581, 0.7257], [0.4772, 0.4772, 0.5684]]
}

{
  "formula": "KZr2Se",
  "functional": "PBEsol",
  "state": "optimized geometry",
  "e_form_raw_ev_per_fu": 0.039,
  "n_ef_per_ev_cell": 3.61,
  "lattice_angstrom": [[-1.0260, 1.4716, 2.8677], [2.3411, -2.8985, 2.3250], [4.8051, 4.9496, -2.8158]],
  "species": ["K", "Se", "Zr", "Zr"],
  "fractional_positions": [[0.5647, 0.5647, 0.1294], [0.2605, 0.7605, 0.5210], [0.9106, 0.9106, 0.8213], [0.7642, 0.2642, 0.5284]]
}

{
  "formula": "KZr2Se",
  "functional": "PBEsol",
  "state": "optimized geometry",
  "e_form_raw_ev_per_fu": -0.500,
  "n_ef_per_ev_cell": 4.46,
  "lattice_angstrom": [[3.2526, 0.0000, 0.0000], [0.0000, 5.2148, 0.0000], [-1.6263, -2.6074, 5.7544]],
  "species": ["K", "Se", "Zr", "Zr"],
  "fractional_positions": [[0.5000, 0.0000, 0.0000], [0.0000, 0.5000, 0.0000], [0.6972, 0.6972, 0.3944], [0.3028, 0.3028, 0.6056]]
}

{
  "formula": "KZr2Se",
  "functional": "PBEsol",
  "state": "optimized geometry",
  "e_form_raw_ev_per_fu": -1.586,
  "n_ef_per_ev_cell": 3.44,
  "lattice_angstrom": [[3.4302, 0.0000, 0.0223], [0.0000, 3.4303, 0.0000], [-0.0574, 0.0000, 8.9166]],
  "species": ["K", "Se", "Zr", "Zr"],
  "fractional_positions": [[0.0004, 0.0000, 0.5430], [0.4999, 0.5000, 0.8152], [0.9999, 0.0000, 0.9627], [0.4998, 0.5000, 0.1790]]
}

{
  "formula": "KZrSe3",
  "functional": "PBEsol",
  "state": "optimized geometry",
  "e_form_raw_ev_per_fu": 4.617,
  "n_ef_per_ev_cell": 6.98,
  "lattice_angstrom": [[5.1839, 0.0000, 0.0000], [0.0000, 5.1839, 0.0000], [0.0000, 0.0000, 5.1839]],
  "species": ["K", "Se", "Se", "Se", "Zr"],
  "fractional_positions": [[0.0000, 0.0000, 0.0000], [0.0000, 0.5000, 0.0000], [0.0000, 0.0000, 0.5000], [0.5000, 0.0000, 0.0000], [0.5000, 0.5000, 0.5000]]
}

{
  "formula": "KZr2Se",
  "functional": "PBEsol",
  "state": "optimized geometry",
  "e_form_raw_ev_per_fu": -0.322,
  "n_ef_per_ev_cell": 5.06,
  "lattice_angstrom": [[-2.8690, -0.2435, -1.5985], [-1.0014, -0.3792, 5.2476], [-0.0921, 7.1060, -0.9171]],
  "species": ["K", "Se", "Zr", "Zr"],
  "fractional_positions": [[0.4714, 0.9428, 0.4545], [0.7166, 0.4332, 0.1820], [0.0291, 0.0581, 0.9602], [0.2829, 0.5659, 0.9033]]
}

{
  "formula": "K3ZrSe",
  "functional": "PBEsol",
  "state": "optimized geometry",
  "e_form_raw_ev_per_fu": 2.195,
  "n_ef_per_ev_cell": 11.18,
  "lattice_angstrom": [[6.1735, 0.0000, 0.0000], [0.0000, 6.1735, 0.0000], [0.0000, 0.0000, 6.1735]],
  "species": ["K", "K", "K", "Se", "Zr"],
  "fractional_positions": [[0.0000, 0.5000, 0.0000], [0.0000, 0.0000, 0.5000], [0.5000, 0.0000, 0.0000], [0.0000, 0.0000, 0.0000], [0.5000, 0.5000, 0.5000]]
}

{
  "formula": "KSi3",
  "functional": "PBEsol",
  "state": "optimized geometry",
  "e_form_raw_ev_per_fu": 2.733,
  "de_polymorph_mev_per_atom": 323.6,
  "n_ef_per_ev_cell": 2.47,
  "lattice_angstrom": [[4.2202, 0.0000, 0.0000], [0.0000, 4.2202, 0.0000], [0.0000, 0.0000, 4.2202]],
  "species": ["K", "Si", "Si", "Si"],
  "fractional_positions": [[0.0000, 0.0000, 0.0000], [0.0000, 0.5000, 0.5000], [0.5000, 0.0000, 0.5000], [0.5000, 0.5000, 0.0000]]
}

{
  "formula": "K15Si92",
  "functional": "PBEsol",
  "state": "optimized geometry",
  "e_form_raw_ev_per_fu": -5.315,
  "n_ef_per_ev_cell": 33.19,
  "lattice_angstrom": [[-9.9839, 0.4572, 2.2834], [-0.1969, -10.1815, 1.1779], [4.6355, 2.2041, 19.8266]],
  "species": ["K", "K", "K", "K", "K", "K", "K", "K", "K", "K", "K", "K", "K", "K", "K", "Si", "Si", "Si", "Si", "Si", "Si", "Si", "Si", "Si", "Si", "Si", "Si", "Si", "Si", "Si", "Si", "Si", "Si", "Si", "Si", "Si", "Si", "Si", "Si", "Si", "Si", "Si", "Si", "Si", "Si", "Si", "Si", "Si", "Si", "Si", "Si", "Si", "Si", "Si", "Si", "Si", "Si", "Si", "Si", "Si", "Si", "Si", "Si", "Si", "Si", "Si", "Si", "Si", "Si", "Si", "Si", "Si", "Si", "Si", "Si", "Si", "Si", "Si", "Si", "Si", "Si", "Si", "Si", "Si", "Si", "Si", "Si", "Si", "Si", "Si", "Si", "Si", "Si", "Si", "Si", "Si", "Si", "Si", "Si", "Si", "Si", "Si", "Si", "Si", "Si", "Si", "Si"],
  "fractional_positions": [[0.5000, 0.5000, 0.2510], [0.5000, 0.5000, 0.7490], [0.0000, 0.0000, 0.0000], [0.7503, 0.0000, 0.2508], [0.7503, 0.0000, 0.7492], [0.0000, 0.5000, 0.3755], [0.0000, 0.5000, 0.8745], [0.5000, 0.2503, 0.0000], [0.5000, 0.2501, 0.5000], [0.2497, 0.0000, 0.2508], [0.2497, 0.0000, 0.7492], [0.0000, 0.5000, 0.1255], [0.0000, 0.5000, 0.6245], [0.5000, 0.7497, 0.0000], [0.5000, 0.7499, 0.5000], [0.5000, 0.0000, 0.3761], [0.5000, 0.0000, 0.8747], [0.0000, 0.2497, 0.2505], [0.0000, 0.2497, 0.7495], [0.7504, 0.5000, 0.0000], [0.7524, 0.5000, 0.5000], [0.5000, 0.0000, 0.1253], [0.5000, 0.0000, 0.6239], [0.0000, 0.7503, 0.2505], [0.0000, 0.7503, 0.7495], [0.2496, 0.5000, 0.0000], [0.2476, 0.5000, 0.5000], [0.5000, 0.1931, 0.3098], [0.5000, 0.1929, 0.8087], [0.8069, 0.3819, 0.2505], [0.8069, 0.3819, 0.7495], [0.6188, 0.5000, 0.4038], [0.6183, 0.5000, 0.9033], [0.5000, 0.8071, 0.1913], [0.5000, 0.8069, 0.6902], [0.1931, 0.6181, 0.2505], [0.1931, 0.6181, 0.7495], [0.3817, 0.5000, 0.0967], [0.3812, 0.5000, 0.5962], [0.8069, 0.6181, 0.2505], [0.8069, 0.6181, 0.7495], [0.6183, 0.5000, 0.0967], [0.6188, 0.5000, 0.5962], [0.1931, 0.3819, 0.2505], [0.1931, 0.3819, 0.7495], [0.3812, 0.5000, 0.4038], [0.3817, 0.5000, 0.9033], [0.5000, 0.8069, 0.3098], [0.5000, 0.8071, 0.8087], [0.5000, 0.1929, 0.1913], [0.5000, 0.1931, 0.6902], [0.0000, 0.1177, 0.3473], [0.0000, 0.1183, 0.8464], [0.3057, 0.0000, 0.4413], [0.3070, 0.0000, 0.9408], [0.1180, 0.3069, 0.0000], [0.1171, 0.3055, 0.5000], [0.0000, 0.8817, 0.1536], [0.0000, 0.8823, 0.6527], [0.6930, 0.0000, 0.0592], [0.6943, 0.0000, 0.5587], [0.8820, 0.6931, 0.0000], [0.8829, 0.6945, 0.5000], [0.3070, 0.0000, 0.0592], [0.3057, 0.0000, 0.5587], [0.1180, 0.6931, 0.0000], [0.1171, 0.6945, 0.5000], [0.6943, 0.0000, 0.4413], [0.6930, 0.0000, 0.9408], [0.8820, 0.3069, 0.0000], [0.8829, 0.3055, 0.5000], [0.0000, 0.1183, 0.1536], [0.0000, 0.1177, 0.6527], [0.0000, 0.8823, 0.3473], [0.0000, 0.8817, 0.8464], [0.6856, 0.3141, 0.3433], [0.6846, 0.3154, 0.8421], [0.3154, 0.6846, 0.1579], [0.3144, 0.6859, 0.6567], [0.6846, 0.6846, 0.1579], [0.6856, 0.6859, 0.6567], [0.3144, 0.3141, 0.3433], [0.3154, 0.3154, 0.8421], [0.3144, 0.6859, 0.3433], [0.3154, 0.6846, 0.8421], [0.6846, 0.3154, 0.1579], [0.6856, 0.3141, 0.6567], [0.3154, 0.3154, 0.1579], [0.3144, 0.3141, 0.6567], [0.6856, 0.6859, 0.3433], [0.6846, 0.6846, 0.8421], [0.1828, 0.1827, 0.4086], [0.1849, 0.1847, 0.9075], [0.8151, 0.8153, 0.0925], [0.8172, 0.8173, 0.5914], [0.1849, 0.8153, 0.0925], [0.1828, 0.8173, 0.5914], [0.8172, 0.1827, 0.4086], [0.8151, 0.1847, 0.9075], [0.8151, 0.1847, 0.0925], [0.8172, 0.1827, 0.5914], [0.1828, 0.8173, 0.4086], [0.1849, 0.8153, 0.9075], [0.8172, 0.8173, 0.4086], [0.8151, 0.8153, 0.9075], [0.1849, 0.1847, 0.0925], [0.1828, 0.1827, 0.5914]]
}

{
  "formula": "KSi3",
  "functional": "PBEsol",
  "state": "optimized geometry",
  "e_form_raw_ev_per_fu": 1.438,
  "de_polymorph_mev_per_atom": 0.0,
  "n_ef_per_ev_cell": 2.10,
  "lattice_angstrom": [[3.5227, 0.0000, 0.0000], [0.0000, 7.4043, 0.0000], [0.0000, -3.7022, 6.4758]],
  "species": ["K", "K", "Si", "Si", "Si", "Si", "Si", "Si"],
  "fractional_positions": [[0.2500, 0.5962, 0.1923], [0.7500, 0.4038, 0.8077], [0.7500, 0.0810, 0.1619], [0.2500, 0.9190, 0.8381], [0.7500, 0.9492, 0.5886], [0.2500, 0.0508, 0.4114], [0.7500, 0.6395, 0.5886], [0.2500, 0.3605, 0.4114]]
}

{
  "formula": "KSi2",
  "functional": "PBEsol",
  "state": "optimized geometry",
  "e_form_raw_ev_per_fu": 0.067,
  "n_ef_per_ev_cell": 1.08,
  "lattice_angstrom": [[3.9205, 0.0000, 0.0000], [-1.9602, 3.3952, 0.0000], [0.0000, 0.0000, 5.6173]],
  "species": ["K", "Si", "Si"],
  "fractional_positions": [[0.0000, 0.0000, 0.0000], [0.3333, 0.6667, 0.4446], [0.6667, 0.3333, 0.5554]]
}

{
  "formula": "K2Si",
  "functional": "PBEsol",
  "state": "optimized geometry",
  "e_form_raw_ev_per_fu": 1.721,
  "n_ef_per_ev_cell": 2.93,
  "lattice_angstrom": [[3.9281, 0.0000, 0.0000], [-1.9640, 3.4018, 0.0000], [0.0000, 0.0000, 9.2145]],
  "species": ["K", "K", "Si"],
  "fractional_positions": [[0.3333, 0.6667, 0.2610], [0.6667, 0.3333, 0.7390], [0.0000, 0.0000, 0.0000]]
}

{
  "formula": "K3SiSn",
  "functional": "PBEsol",
  "state": "optimized geometry",
  "e_form_raw_ev_per_fu": 3.113,
  "n_ef_per_ev_cell": 7.43,
  "lattice_angstrom": [[-4.9197, 2.8115, -2.5905], [-3.3717, -1.2010, 5.0998], [1.8020, 5.4288, 2.4698]],
  "species": ["K", "K", "K", "Si", "Sn"],
  "fractional_positions": [[0.0000, 0.5000, 0.0000], [0.0000, 0.0000, 0.5000], [0.5000, 0.0000, 0.0000], [0.0000, 0.0000, 0.0000], [0.5000, 0.5000, 0.5000]]
}

{
  "formula": "KSiSn3",
  "functional": "PBEsol",
  "state": "optimized geometry",
  "e_form_raw_ev_per_fu": 1.307,
  "n_ef_per_ev_cell": 4.18,
  "lattice_angstrom": [[-5.0190, 1.1071, 1.4128], [-0.9000, -5.1822, 0.8638], [1.5530, 0.5748, 5.0665]],
  "species": ["K", "Si", "Sn", "Sn", "Sn"],
  "fractional_positions": [[0.5000, 0.5000, 0.5000], [0.0000, 0.0000, 0.0000], [0.0000, 0.5000, 0.0000], [0.0000, 0.0000, 0.5000], [0.5000, 0.0000, 0.0000]]
}

{
  "formula": "K2SrSi",
  "functional": "PBEsol",
  "state": "optimized geometry",
  "e_form_raw_ev_per_fu": 2.021,
  "n_ef_per_ev_cell": 4.03,
  "lattice_angstrom": [[-2.8659, 2.7180, 0.7504], [-3.8065, -0.7486, -1.0556], [-4.3352, -4.7251, 11.3274]],
  "species": ["K", "K", "Si", "Sr"],
  "fractional_positions": [[0.2292, 0.2292, 0.3125], [0.7708, 0.7708, 0.6875], [0.5000, 0.5000, 0.5000], [0.0000, 0.0000, 0.0000]]
}

{
  "formula": "KSr2Si",
  "functional": "PBEsol",
  "state": "optimized geometry",
  "e_form_raw_ev_per_fu": -0.328,
  "n_ef_per_ev_cell": 3.82,
  "lattice_angstrom": [[4.8590, 0.0000, 0.0000], [2.4295, 4.2080, 0.0000], [2.4295, 1.4027, 9.7313]],
  "species": ["K", "Si", "Sr", "Sr"],
  "fractional_positions": [[0.5000, 0.5000, 0.5000], [0.0000, 0.0000, 0.0000], [0.2877, 0.2877, 0.1368], [0.7123, 0.7123, 0.8632]]
}

{
  "formula": "KSr2Si",
  "functional": "PBEsol",
  "state": "optimized geometry",
  "e_form_raw_ev_per_fu": 0.682,
  "n_ef_per_ev_cell": 1.89,
  "lattice_angstrom": [[-5.0168, 0.2418, -0.4993], [-0.4108, -4.6725, 1.8641], [2.3293, 4.1673, 4.1257]],
  "species": ["K", "Si", "Sr", "Sr"],
  "fractional_positions": [[0.5000, 0.5000, 0.0000], [0.2500, 0.7500, 0.5000], [0.0000, 0.0000, 0.0000], [0.7500, 0.2500, 0.5000]]
}

{
  "formula": "KSr2Si",
  "functional": "PBEsol",
  "state": "optimized geometry",
  "e_form_raw_ev_per_fu": 0.313,
  "n_ef_per_ev_cell": 4.32,
  "lattice_angstrom": [[-2.5564, -2.7388, 2.1928], [3.0734, -0.4396, 3.0340], [-3.6251, 7.1538, 4.7088]],
  "species": ["K", "Si", "Sr", "Sr"],
  "fractional_positions": [[0.0000, 0.0000, 0.5491], [0.5000, 0.5000, 0.8493], [0.0000, 0.0000, 0.9149], [0.5000, 0.5000, 0.1866]]
}

{
  "formula": "K2SrSi",
  "functional": "PBEsol",
  "state": "optimized geometry",
  "e_form_raw_ev_per_fu": 0.277,
  "n_ef_per_ev_cell": 2.21,
  "lattice_angstrom": [[3.9895, 0.0000, 0.0000], [0.0000, 3.9895, 0.0000], [0.0000, 0.0000, 11.1086]],
  "species": ["K", "K", "Si", "Sr"],
  "fractional_positions": [[0.5000, 0.5000, 0.9780], [0.0000, 0.0000, 0.3374], [0.5000, 0.5000, 0.5278], [0.0000, 0.0000, 0.6569]]
}